Material: ZrReTc2
Method: DFT, GGA-PBE
State: optimized geometry

a b c (Å): 3.1720 3.1720 6.4987
angles (deg): 90.00 90.00 90.00
With the nearest neighbours (Å) after each atom.
Positions (direct):
Re 0.5000 0.5000 0.7672  4 Tc 2.69, 4 Zr 2.85
Tc 0.0000 0.0000 0.9970  4 Re 2.69, 4 Tc 2.74
Tc 0.5000 0.5000 0.2401  4 Tc 2.74, 4 Zr 2.79
Zr 0.0000 0.0000 0.4957  4 Tc 2.79, 4 Re 2.85

Output
Electronic total energy, eV per atom: -10.44
Space-group type: P4mm (99)
DOS at the Fermi energy, states/eV/cell: 2.94
Calculated formation energy, kJ/mol of formula units: -2

=====

Material: Zr4ReTc3
Method: DFT, GGA-PBE
State: optimized geometry

a b c (Å): 3.2950 3.2950 13.1852
angles (deg): 90.00 90.00 90.00
With the nearest neighbours (Å) after each atom.
Positions (direct):
Re 0.5000 0.5000 0.0000  8 Zr 2.86
Tc 0.5000 0.5000 0.2507  8 Zr 2.85
Tc 0.5000 0.5000 0.5000  8 Zr 2.85
Tc 0.5000 0.5000 0.7493  8 Zr 2.85
Zr 0.0000 0.0000 0.8742  4 Tc 2.85, 4 Re 2.86
Zr 0.0000 0.0000 0.1258  4 Tc 2.85, 4 Re 2.86
Zr 0.0000 0.0000 0.3754  8 Tc 2.85
Zr 0.0000 0.0000 0.6246  8 Tc 2.85

Output
Electronic total energy, eV per atom: -10.03
Space-group type: P4/mmm (123)
DOS at the Fermi energy, states/eV/cell: 7.41
Calculated formation energy, kJ/mol of formula units: -240

=====

Material: Zr4Re2Tc
Method: DFT, GGA-PBE
State: optimized geometry

a b c (Å): 4.9233 4.9233 7.4269
angles (deg): 70.64 70.64 90.00
With the nearest neighbours (Å) after each atom.
Positions (direct):
Re 0.6138 0.6138 0.7723  1 Zr 2.48
Re 0.3862 0.3862 0.2277  1 Zr 2.48
Tc 0.0000 0.0000 0.0000  6 Zr 2.46-2.59
Zr 0.8026 0.8026 0.3949  1 Re 2.48, 1 Tc 2.59
Zr 0.1974 0.1974 0.6051  1 Re 2.48, 1 Tc 2.59
Zr 0.0000 0.5000 0.0000  2 Tc 2.46
Zr 0.5000 0.0000 0.0000  2 Tc 2.46

Output
Electronic total energy, eV per atom: -9.16
Space-group type: I4/mmm (139)
DOS at the Fermi energy, states/eV/cell: 7.30
Calculated formation energy, kJ/mol of formula units: 514